(1)
## Fe2HRh (GGA-PBE)

Data for a geometry-optimized Fe2HRh structure.

Fermi-level density of states (states/eV/f.u.): 4.05
V (Å³ per atom): 10.01
Energy above the lowest structure with this stoichiometry (kJ per mole of atoms): 0.0

Lattice parameters (Å, degrees): 2.6616 2.6616 19.5784 90.00 90.00 120.00
With the nearest neighbours (Å) after each atom.
Fractional coordinates of all 12 atoms:
Fe1 0.0000 0.0000 0.2241  3 H 1.90
Fe2 0.0000 0.0000 0.7759  3 H 1.90
Fe3 0.3333 0.6667 0.4425  3 H 1.90
Fe4 0.3333 0.6667 0.8908  3 H 1.90
Fe5 0.6667 0.3333 0.1092  3 H 1.90
Fe6 0.6667 0.3333 0.5575  3 H 1.90
H1 0.0000 0.0000 0.5000  6 Fe 1.90
H2 0.3333 0.6667 0.1667  6 Fe 1.90
H3 0.6667 0.3333 0.8333  6 Fe 1.90
Rh1 0.0000 0.0000 0.0000  6 Fe 2.63, 6 Rh 2.66
Rh2 0.3333 0.6667 0.6667  6 Fe 2.63, 6 Rh 2.66
Rh3 0.6667 0.3333 0.3333  6 Fe 2.63, 6 Rh 2.66

***

(2)
## FeHRh3 (GGA-PBE)

Data for a geometry-optimized FeHRh3 structure.

Fermi-level density of states (states/eV/f.u.): 6.04
V (Å³ per atom): 11.11
Energy above the lowest structure with this stoichiometry (kJ per mole of atoms): 14.4

Lattice parameters (Å, degrees): 4.6562 4.6719 5.4150 89.90 89.98 70.54
With the nearest neighbours (Å) after each atom.
Fractional coordinates of all 10 atoms:
Fe1 0.0075 0.2359 0.3889  1 H 1.77
Fe2 0.9925 0.7641 0.6111  1 H 1.77
H1 0.2141 0.5353 0.8498  1 Fe 1.77, 3 Rh 1.93-1.96
H2 0.7859 0.4647 0.1502  1 Fe 1.77, 3 Rh 1.93-1.96
Rh1 0.0012 0.2441 0.8611  2 H 1.93-1.96
Rh2 0.4950 0.7552 0.3841  1 H 2.02
Rh3 0.4982 0.2468 0.1310  2 H 1.94-2.17
Rh4 0.5018 0.7532 0.8690  2 H 1.94-2.17
Rh5 0.5050 0.2448 0.6159  1 H 2.02
Rh6 0.9988 0.7559 0.1389  2 H 1.93-1.96

***

(3)
## FeH2Rh2 (GGA-PBE)

Data for a geometry-optimized FeH2Rh2 structure.

Fermi-level density of states (states/eV/f.u.): 2.87
V (Å³ per atom): 9.50
Energy above the lowest structure with this stoichiometry (kJ per mole of atoms): 0.0

Lattice parameters (Å, degrees): 2.9390 2.9390 11.0037 90.00 90.00 90.00
With the nearest neighbours (Å) after each atom.
Fractional coordinates of all 10 atoms:
Fe1 0.0000 0.0000 0.0000  8 Rh 2.61
Fe2 0.5000 0.5000 0.5000  8 Rh 2.61
H1 0.0000 0.5000 0.2500  4 Rh 1.88, 4 H 2.08
H2 0.0000 0.5000 0.7500  4 Rh 1.88, 4 H 2.08
H3 0.5000 0.0000 0.2500  4 Rh 1.88, 4 H 2.08
H4 0.5000 0.0000 0.7500  4 Rh 1.88, 4 H 2.08
Rh1 0.0000 0.0000 0.3564  4 H 1.88
Rh2 0.0000 0.0000 0.6436  4 H 1.88
Rh3 0.5000 0.5000 0.1436  4 H 1.88
Rh4 0.5000 0.5000 0.8564  4 H 1.88